Compound: NdSm2Er7
Source: Alexandria
Functional: PBE
Structure: optimized geometry

POSCAR file:
```
NdSm2Er7
1.0
3.5685 -0.4674 -0.3235
-0.8800 9.6356 -3.4042
-0.8799 0.2060 10.2171
Sm Er Nd
2 7 1
direct
0.5000 0.8239 0.1761
0.5000 0.1761 0.8239
0.7461 0.9016 0.5914
0.2539 0.4086 0.0984
0.0000 0.3363 0.6637
0.2539 0.0984 0.4086
0.5000 0.5000 0.5000
0.7461 0.5914 0.9016
0.0000 0.6637 0.3363
0.0000 0.0000 0.0000
```

Values from the calculation:
space group: Immm
DFT total energy: -4.293 eV per atom

Compound: Nd4Sm11Er9
Source: Alexandria
Functional: PBE
Structure: optimized geometry

POSCAR file:
```
Nd4Sm11Er9
1.0
-0.2999 -0.9583 3.5620
-15.1659 -0.6788 -1.4596
6.8693 -13.2830 -2.9950
Sm Nd Er
11 4 9
direct
0.0000 0.0442 0.4065
0.0000 0.4065 0.0442
0.0000 0.0000 0.0000
0.0000 0.7108 0.7108
0.0000 0.6342 0.3658
0.0000 0.5935 0.9558
0.0000 0.1596 0.8404
0.0000 0.9558 0.5935
0.0000 0.3658 0.6342
0.0000 0.8404 0.1596
0.0000 0.2892 0.2892
0.5000 0.4455 0.2443
0.5000 0.2443 0.4455
0.5000 0.7557 0.5545
0.5000 0.5545 0.7557
0.5000 0.5000 0.5000
0.5000 0.1632 0.6342
0.5000 0.7889 0.9348
0.5000 0.3658 0.8368
0.5000 0.0652 0.2111
0.5000 0.2111 0.0652
0.5000 0.9348 0.7889
0.5000 0.6342 0.1632
0.5000 0.8368 0.3658
```

Values from the calculation:
space group: Cmmm
DFT total energy: -4.606 eV per atom

Question: Which value of DFT total energy does entry 2 give?
Answer: -4.606 eV per atom